{
  "formula": "GaSnO2",
  "functional": "GGA-PBE",
  "state": "relaxed",
  "vol_a3_per_atom": 16.03,
  "e_form_raw_ev_per_atom": -1.14,
  "dos_ef_per_ev_cell": 1.06,
  "lattice": [[5.3876, 0.0000, 0.0000], [0.0000, 5.3876, 0.0000], [2.6938, 2.6938, 4.4183]],
  "species": ["O", "Ga", "Sn", "O", "O", "O", "Sn", "Ga"],
  "fractional_positions": [[0.2418, 0.6250, 0.2500], [0.2500, 0.7500, 0.5000], [0.7500, 0.2500, 0.5000], [0.8750, 0.7582, 0.7500], [0.5082, 0.1250, 0.2500], [0.3750, 0.4918, 0.7500], [0.0000, 0.0000, 0.0000], [0.5000, 0.5000, 0.0000]]
}